CePaTcRu (PBE, relaxed); SG = F-43m, No. 216; energy relative to the elements = -0.8 eV/f.u.; DOS at the Fermi energy = 18.24 states/eV per cell; energy = -8.970 eV/atom; theoretical density = 11.60 g/cm³; V = 20.400 Å³ per atom; M_tot = 0.00 μB/f.u.
1.0
6.8853 0.0000 0.0000
0.0000 6.8853 0.0000
0.0000 0.0000 6.8853
Ce Pa Tc Ru
4 4 4 4
Direct
0.0000 0.0000 0.0000
0.0000 0.5000 0.5000
0.5000 0.0000 0.5000
0.5000 0.5000 0.0000
0.0000 0.0000 0.5000
0.0000 0.5000 0.0000
0.5000 0.0000 0.0000
0.5000 0.5000 0.5000
0.2500 0.2500 0.7500
0.2500 0.7500 0.2500
0.7500 0.2500 0.2500
0.7500 0.7500 0.7500
0.2500 0.2500 0.2500
0.2500 0.7500 0.7500
0.7500 0.2500 0.7500
0.7500 0.7500 0.2500


BaYRu2O8 (PBE, relaxed); SG = P-3, No. 147; DOS at the Fermi energy = 5.84 states/eV per cell; energy = -7.217 eV/atom; theoretical density = 4.00 g/cm³; V = 19.243 Å³ per atom; M_tot = 3.02 μB/f.u.
1.0
5.9059 0.0000 0.0000
-2.9529 5.1147 0.0000
0.0000 0.0000 7.6445
Ba Y Ru O
1 1 2 8
Direct
0.0000 0.0000 0.0000
0.0000 0.0000 0.5000
0.3333 0.6667 0.7703
0.6667 0.3333 0.2297
0.1591 0.3272 0.6971
0.1681 0.8409 0.6971
0.3272 0.1681 0.3029
0.3333 0.6667 0.0036
0.6667 0.3333 0.9964
0.6728 0.8319 0.6971
0.8319 0.1591 0.3029
0.8409 0.6728 0.3029


PrSnRhN (PBE, relaxed); SG = P4/nmm, No. 129; DOS at the Fermi energy = 4.75 states/eV per cell; energy = -6.749 eV/atom; theoretical density = 7.97 g/cm³; V = 19.621 Å³ per atom; M_tot = 0.00 μB/f.u.
1.0
4.0235 0.0000 0.0000
0.0000 4.0235 0.0000
0.0000 0.0000 9.6966
Pr Sn Rh N
2 2 2 2
Direct
0.2500 0.2500 0.1297
0.7500 0.7500 0.8703
0.2500 0.2500 0.6682
0.7500 0.7500 0.3318
0.2500 0.7500 0.5000
0.7500 0.2500 0.5000
0.2500 0.2500 0.8922
0.7500 0.7500 0.1078


HfCIO2 (PBE, relaxed); SG = P4/mmm, No. 123; DOS at the Fermi energy = 1.18 states/eV per cell; energy = -6.548 eV/atom; theoretical density = 5.80 g/cm³; V = 20.011 Å³ per atom; M_tot = 1.55 μB/f.u.
1.0
3.9672 0.0000 0.0000
0.0000 3.9672 0.0000
0.0000 0.0000 6.3571
Hf C I O
1 1 1 2
Direct
0.0000 0.0000 0.0000
0.5000 0.5000 0.5000
0.0000 0.0000 0.5000
0.0000 0.5000 0.0000
0.5000 0.0000 0.0000


Look up the DOS at the Fermi energy of the fourth one. 1.18 states/eV per cell


What is the energy in the fourth record? -6.548 eV/atom


Which of these has the highest M_tot? BaYRu2O8